Sc2AgAu | Alexandria via LeMat-Bulk | PBE-GGA | optimized geometry; electronic total energy = -38.5 eV/cell; ρ = 7.50 Mg/m³; symmetry = I-42d; formation energy = -2.55 kcal/mol of atoms
1.0
7.5809 0.0000 0.0000
0.0000 7.5809 0.0000
3.7905 3.7905 3.0434
Sc Au Ag
4 2 2
Direct
0.6374 0.1250 0.2500
0.1126 0.6250 0.2500
0.3750 0.3626 0.7500
0.8750 0.8874 0.7500
0.0000 0.0000 0.0000
0.7500 0.2500 0.5000
0.5000 0.5000 0.0000
0.2500 0.7500 0.5000